! AgHgC3 PBE-GGA relaxed; values from VASP
! - Excess energy over the best structure of this formula in the dataset: 281 meV per atom
! - V: 82.44 Å³/cell
! - Total energy: -2.674 eV/atom
! - Total magnetic moment: 0.0 μB per formula unit
! - Energy relative to the elements: 3.49 eV/atom
&SYSTEM
  ibrav = 0, nat = 5, ntyp = 3
/
ATOMIC_SPECIES
Ag 107.87 Ag.upf
Hg 200.59 Hg.upf
C 12.01 C.upf
ATOMIC_POSITIONS crystal
Ag 0.000 0.000 0.000
Hg 0.500 0.500 0.500
C 0.000 0.500 0.500
C 0.500 0.000 0.500
C 0.500 0.500 0.000
CELL_PARAMETERS angstrom
4.352 0.000 0.000
0.000 4.352 0.000
0.000 0.000 4.352